# 1
DFT (PBE-GGA) results for an optimized crystal structure of Sm8CdRu2.

Lattice parameters (Å, degrees): 5.6226 8.0270 8.0270 113.40 97.34 97.34
Last column: nearest neighbours and their distance in Å.
Atoms (fractional coordinates):
Sm 0.9294 0.9308 0.6720  2 Ru 2.91
Sm 0.9294 0.6720 0.9308  2 Ru 2.91
Sm 0.2987 0.6105 0.6105  2 Ru 3.14, 4 Sm 3.31-3.47, 1 Cd 3.36
Sm 0.5000 0.7501 0.2499  2 Ru 2.91
Sm 0.5000 0.2499 0.7501  2 Ru 2.91
Sm 0.7013 0.3895 0.3895  2 Ru 3.14, 4 Sm 3.31-3.47, 1 Cd 3.36
Sm 0.0706 0.3280 0.0692  2 Ru 2.91
Sm 0.0706 0.0692 0.3280  2 Ru 2.91
Cd 0.5000 0.0000 0.0000  12 Sm 3.35-3.72
Ru 0.0000 0.3052 0.6948  8 Sm 2.91-3.14
Ru 0.0000 0.6948 0.3052  8 Sm 2.91-3.14

Values from the calculation:
Space-group type ... C2/m (12)
Volume ... 29.40 Å³ per atom
Density of states at the Fermi level ... 12.47 states/eV/cell
E_form ... -0.133 eV/atom

# 2
DFT (PBE-GGA) results for an optimized crystal structure of Sm4CdRu.

Lattice parameters (Å, degrees): 9.8047 9.8047 9.8047 60.00 60.00 60.00
Last column: nearest neighbours and their distance in Å.
Atoms (fractional coordinates):
Sm 0.4040 0.4040 0.4040  3 Ru 2.90
Sm 0.7881 0.4040 0.4040  3 Ru 2.90
Sm 0.4040 0.7881 0.4040  3 Ru 2.90
Sm 0.4040 0.4040 0.7881  3 Ru 2.90
Sm 0.5596 0.5596 0.9404  2 Ru 2.80
Sm 0.9404 0.9404 0.5596  2 Ru 2.80
Sm 0.5596 0.9404 0.5596  2 Ru 2.80
Sm 0.9404 0.5596 0.9404  2 Ru 2.80
Sm 0.9404 0.5596 0.5596  2 Ru 2.80
Sm 0.5596 0.9404 0.9404  2 Ru 2.80
Sm 0.1885 0.1885 0.8115  2 Cd 3.35, 10 Sm 3.53-3.70, 2 Ru 3.53
Sm 0.8115 0.8115 0.1885  2 Cd 3.35, 10 Sm 3.53-3.70, 2 Ru 3.53
Sm 0.1885 0.8115 0.1885  2 Cd 3.35, 10 Sm 3.53-3.70, 2 Ru 3.53
Sm 0.8115 0.1885 0.8115  2 Cd 3.35, 10 Sm 3.53-3.70, 2 Ru 3.53
Sm 0.8115 0.1885 0.1885  2 Cd 3.35, 10 Sm 3.53-3.70, 2 Ru 3.53
Sm 0.1885 0.8115 0.8115  2 Cd 3.35, 10 Sm 3.53-3.70, 2 Ru 3.53
Cd 0.1703 0.1703 0.1703  3 Cd 3.13, 3 Sm 3.35
Cd 0.4892 0.1703 0.1703  3 Cd 3.13, 3 Sm 3.35
Cd 0.1703 0.4892 0.1703  3 Cd 3.13, 3 Sm 3.35
Cd 0.1703 0.1703 0.4892  3 Cd 3.13, 3 Sm 3.35
Ru 0.6120 0.6120 0.6120  6 Sm 2.80-2.90
Ru 0.1639 0.6120 0.6120  6 Sm 2.80-2.90
Ru 0.6120 0.1639 0.6120  6 Sm 2.80-2.90
Ru 0.6120 0.6120 0.1639  6 Sm 2.80-2.90

Values from the calculation:
Space-group type ... F-43m (216)
Volume ... 27.77 Å³ per atom
Density of states at the Fermi level ... 27.01 states/eV/cell
Polymorph energy (0 for the lowest one) ... 0 meV/atom
E_form ... -0.291 eV/atom

# 3
DFT (PBE-GGA) results for an optimized crystal structure of Sm3CdRu.

Lattice parameters (Å, degrees): 5.4101 5.4101 5.4101 90.00 90.00 90.00
Last column: nearest neighbours and their distance in Å.
Atoms (fractional coordinates):
Ru 0.0000 0.0000 0.0000  6 Sm 2.71
Sm 0.0000 0.5000 0.0000  2 Ru 2.71
Sm 0.0000 0.0000 0.5000  2 Ru 2.71
Sm 0.5000 0.0000 0.0000  2 Ru 2.71
Cd 0.5000 0.5000 0.5000  12 Sm 3.83

Values from the calculation:
Space-group type ... Pm-3m (221)
Volume ... 31.67 Å³ per atom
Density of states at the Fermi level ... 3.95 states/eV/cell
Polymorph energy (0 for the lowest one) ... 192 meV/atom
E_form ... -0.092 eV/atom

# 4
DFT (PBE-GGA) results for an optimized crystal structure of Sm8Cd3Ru2.

Lattice parameters (Å, degrees): 5.0876 8.0764 9.7005 114.60 91.84 90.00
Last column: nearest neighbours and their distance in Å.
Atoms (fractional coordinates):
Sm 0.2539 0.5722 0.1445  1 Ru 2.74
Sm 0.7461 0.4278 0.8555  1 Ru 2.74
Sm 0.2364 0.1633 0.3265  2 Ru 3.12-3.28, 3 Cd 3.22-3.41, 6 Sm 3.36-3.45
Sm 0.7636 0.8367 0.6735  2 Ru 3.12-3.28, 3 Cd 3.22-3.41, 6 Sm 3.36-3.45
Sm 0.2509 0.1075 0.6571  2 Ru 2.88-3.16
Sm 0.2509 0.5496 0.6571  2 Ru 2.88-3.16
Sm 0.7491 0.4504 0.3429  2 Ru 2.88-3.16
Sm 0.7491 0.8925 0.3429  2 Ru 2.88-3.16
Cd 0.5000 0.0000 0.0000  4 Cd 2.93, 2 Sm 3.22
Cd 0.0000 0.8189 0.0000  3 Cd 2.93, 2 Sm 3.13
Cd 0.0000 0.1811 0.0000  3 Cd 2.93, 2 Sm 3.13
Ru 0.7692 0.2731 0.5461  3 Sm 2.74-2.88
Ru 0.2308 0.7269 0.4539  3 Sm 2.74-2.88

Values from the calculation:
Space-group type ... C2/m (12)
Volume ... 27.86 Å³ per atom
Density of states at the Fermi level ... 13.22 states/eV/cell
E_form ... -0.115 eV/atom

# 5
DFT (PBE-GGA) results for an optimized crystal structure of Sm6CdRu3.

Lattice parameters (Å, degrees): 7.1745 8.6824 8.6824 100.80 90.00 90.00
Last column: nearest neighbours and their distance in Å.
Atoms (fractional coordinates):
Sm 0.1742 0.6928 0.6347  4 Ru 2.86-3.05
Sm 0.6742 0.6347 0.6928  4 Ru 2.86-3.05
Sm 0.2854 0.4874 0.9297  2 Ru 2.84-2.86
Sm 0.7854 0.9297 0.4874  2 Ru 2.84-2.86
Sm 0.1378 0.0689 0.9311  4 Ru 2.95-3.11
Sm 0.6237 0.2064 0.7936  3 Ru 2.72-2.94
Sm 0.1237 0.7936 0.2064  3 Ru 2.72-2.94
Sm 0.6378 0.9311 0.0689  4 Ru 2.95-3.11
Sm 0.2854 0.0703 0.5126  2 Ru 2.84-2.86
Sm 0.7854 0.5126 0.0703  2 Ru 2.84-2.86
Sm 0.1742 0.3653 0.3072  4 Ru 2.86-3.05
Sm 0.6742 0.3072 0.3653  4 Ru 2.86-3.05
Cd 0.9983 0.3401 0.6599  1 Ru 2.94, 3 Sm 3.20-3.23
Cd 0.4983 0.6599 0.3401  1 Ru 2.94, 3 Sm 3.20-3.23
Ru 0.4545 0.9217 0.7423  5 Sm 2.72-2.95
Ru 0.9545 0.7423 0.9217  5 Sm 2.72-2.95
Ru 0.3973 0.3900 0.6100  7 Sm 2.86-3.05, 1 Cd 2.94
Ru 0.8973 0.6100 0.3900  7 Sm 2.86-3.05, 1 Cd 2.94
Ru 0.9545 0.0783 0.2577  5 Sm 2.72-2.95
Ru 0.4545 0.2577 0.0783  5 Sm 2.72-2.95

Values from the calculation:
Space-group type ... Cmc2_1 (36)
Volume ... 26.56 Å³ per atom
Density of states at the Fermi level ... 13.20 states/eV/cell
E_form ... -0.202 eV/atom

# 6
DFT (PBE-GGA) results for an optimized crystal structure of Sm5CdRu4.

Lattice parameters (Å, degrees): 3.4809 3.4809 18.4458 90.00 90.00 90.00
Last column: nearest neighbours and their distance in Å.
Atoms (fractional coordinates):
Sm 0.5000 0.5000 0.1250  4 Ru 2.95
Sm 0.5000 0.5000 0.3128  8 Ru 2.99-3.08
Sm 0.5000 0.5000 0.5000  8 Ru 3.02
Sm 0.5000 0.5000 0.6872  8 Ru 2.99-3.08
Sm 0.5000 0.5000 0.8750  4 Ru 2.95
Cd 0.0000 0.0000 0.0000  8 Sm 3.37, 4 Cd 3.48
Ru 0.0000 0.0000 0.2128  8 Sm 2.95-3.08
Ru 0.0000 0.0000 0.4052  8 Sm 2.99-3.02
Ru 0.0000 0.0000 0.5948  8 Sm 2.99-3.02
Ru 0.0000 0.0000 0.7872  8 Sm 2.95-3.08

Values from the calculation:
Space-group type ... P4/mmm (123)
Volume ... 22.35 Å³ per atom
Density of states at the Fermi level ... 6.90 states/eV/cell
E_form ... -0.228 eV/atom

# 7
DFT (PBE-GGA) results for an optimized crystal structure of Sm5CdRu2.

Lattice parameters (Å, degrees): 7.9207 7.9207 8.8451 116.60 116.60 90.00
Last column: nearest neighbours and their distance in Å.
Atoms (fractional coordinates):
Sm 0.5260 0.7097 0.7357  3 Ru 2.87-3.00
Sm 0.7903 0.9740 0.2643  3 Ru 2.87-3.00
Sm 0.0000 0.0000 0.0000  4 Ru 3.05
Sm 0.5000 0.5000 0.0000  4 Ru 3.05
Sm 0.2097 0.0260 0.7357  3 Ru 2.87-3.00
Sm 0.7097 0.2097 0.7357  3 Ru 2.87-3.00
Sm 0.0260 0.5260 0.7357  3 Ru 2.87-3.00
Sm 0.2903 0.7903 0.2643  3 Ru 2.87-3.00
Sm 0.9740 0.4740 0.2643  3 Ru 2.87-3.00
Sm 0.4740 0.2903 0.2643  3 Ru 2.87-3.00
Cd 0.7500 0.7500 0.5000  10 Sm 3.39-3.42
Cd 0.2500 0.2500 0.5000  10 Sm 3.39-3.42
Ru 0.1428 0.3572 0.0000  8 Sm 2.87-3.05, 1 Ru 3.20
Ru 0.6428 0.1428 0.0000  8 Sm 2.87-3.05, 1 Ru 3.20
Ru 0.3572 0.8572 0.0000  8 Sm 2.87-3.05, 1 Ru 3.20
Ru 0.8572 0.6428 0.0000  8 Sm 2.87-3.05, 1 Ru 3.20

Values from the calculation:
Space-group type ... I4/mcm (140)
Volume ... 26.84 Å³ per atom
Density of states at the Fermi level ... 13.78 states/eV/cell
E_form ... -0.287 eV/atom

# 8
DFT (PBE-GGA) results for an optimized crystal structure of Sm11Cd9Ru4.

Lattice parameters (Å, degrees): 3.8321 13.1108 13.1108 112.59 90.00 90.00
Last column: nearest neighbours and their distance in Å.
Atoms (fractional coordinates):
Sm 0.0000 0.5824 0.9144  2 Ru 2.83
Sm 0.0000 0.4176 0.0856  2 Ru 2.83
Sm 0.0000 0.9144 0.5824  2 Ru 2.83
Sm 0.0000 0.0856 0.4176  2 Ru 2.83
Sm 0.0000 0.6278 0.3722  4 Ru 2.93
Sm 0.0000 0.3722 0.6278  4 Ru 2.93
Sm 0.0000 0.8383 0.1617  8 Cd 3.28-3.47, 3 Sm 3.53-3.66
Sm 0.0000 0.1617 0.8383  8 Cd 3.28-3.47, 3 Sm 3.53-3.66
Sm 0.0000 0.0000 0.0000  8 Cd 3.25, 2 Sm 3.53
Sm 0.0000 0.6917 0.6917  4 Ru 2.97
Sm 0.0000 0.3083 0.3083  4 Ru 2.97
Cd 0.5000 0.6335 0.1565  1 Cd 3.06, 1 Ru 3.09, 4 Sm 3.24-3.28
Cd 0.5000 0.3665 0.8435  1 Cd 3.06, 1 Ru 3.09, 4 Sm 3.24-3.28
Cd 0.5000 0.1565 0.6335  1 Cd 3.06, 1 Ru 3.09, 4 Sm 3.24-3.28
Cd 0.5000 0.8435 0.3665  1 Cd 3.06, 1 Ru 3.09, 4 Sm 3.24-3.28
Cd 0.5000 0.7835 0.9261  1 Ru 3.10, 1 Cd 3.11, 8 Sm 3.21-3.47
Cd 0.5000 0.2165 0.0739  1 Ru 3.10, 1 Cd 3.11, 8 Sm 3.21-3.47
Cd 0.5000 0.9261 0.7835  1 Ru 3.10, 1 Cd 3.11, 8 Sm 3.21-3.47
Cd 0.5000 0.0739 0.2165  1 Ru 3.10, 1 Cd 3.11, 8 Sm 3.21-3.47
Cd 0.5000 0.5000 0.5000  4 Ru 3.04, 8 Sm 3.38
Ru 0.5000 0.5468 0.7455  6 Sm 2.83-2.97, 3 Cd 3.04-3.10
Ru 0.5000 0.4532 0.2545  6 Sm 2.83-2.97, 3 Cd 3.04-3.10
Ru 0.5000 0.7455 0.5468  6 Sm 2.83-2.97, 3 Cd 3.04-3.10
Ru 0.5000 0.2545 0.4532  6 Sm 2.83-2.97, 3 Cd 3.04-3.10

Values from the calculation:
Space-group type ... Cmmm (65)
Volume ... 25.34 Å³ per atom
Density of states at the Fermi level ... 19.42 states/eV/cell
E_form ... -0.318 eV/atom

# 9
DFT (PBE-GGA) results for an optimized crystal structure of Sm4CdRu.

Lattice parameters (Å, degrees): 6.3253 9.3026 7.8387 115.45 99.36 113.94
Last column: nearest neighbours and their distance in Å.
Atoms (fractional coordinates):
Sm 0.1002 0.2016 0.8332  2 Ru 3.04-3.14, 2 Cd 3.26-3.36
Sm 0.7693 0.7253 0.6642  2 Ru 2.82-2.85
Sm 0.2330 0.6316 0.8332  2 Ru 3.04-3.14, 2 Cd 3.26-3.36
Sm 0.3949 0.9389 0.6642  2 Ru 2.82-2.85
Sm 0.6051 0.0611 0.3358  2 Ru 2.82-2.85
Sm 0.7670 0.3684 0.1668  2 Ru 3.04-3.14, 2 Cd 3.26-3.36
Sm 0.2307 0.2747 0.3358  2 Ru 2.82-2.85
Sm 0.8998 0.7984 0.1668  2 Ru 3.04-3.14, 2 Cd 3.26-3.36
Cd 0.3734 0.6234 0.2468  8 Sm 3.26-3.41
Cd 0.6266 0.3766 0.7532  8 Sm 3.26-3.41
Ru 0.2491 0.9991 0.9982  8 Sm 2.82-3.14
Ru 0.7509 0.0009 0.0018  8 Sm 2.82-3.14

Values from the calculation:
Space-group type ... C2/c (15)
Volume ... 28.96 Å³ per atom
Density of states at the Fermi level ... 14.76 states/eV/cell
Polymorph energy (0 for the lowest one) ... 53 meV/atom
E_form ... -0.238 eV/atom

# 10
DFT (PBE-GGA) results for an optimized crystal structure of Sm3CdRu.

Lattice parameters (Å, degrees): 6.0342 6.0342 8.6790 102.17 102.17 113.18
Last column: nearest neighbours and their distance in Å.
Atoms (fractional coordinates):
Sm 0.3005 0.8005 0.1010  4 Ru 3.12, 2 Sm 3.42, 2 Cd 3.48
Sm 0.6995 0.1995 0.8990  4 Ru 3.12, 2 Sm 3.42, 2 Cd 3.48
Sm 0.0814 0.1981 0.2795  2 Ru 2.85
Sm 0.9186 0.8019 0.7205  2 Ru 2.85
Sm 0.6981 0.5814 0.2795  2 Ru 2.85
Sm 0.3019 0.4186 0.7205  2 Ru 2.85
Cd 0.7075 0.2075 0.5000  1 Cd 2.76
Cd 0.2925 0.7925 0.5000  1 Cd 2.76
Ru 0.2500 0.2500 0.0000  8 Sm 2.85-3.12
Ru 0.7500 0.7500 0.0000  8 Sm 2.85-3.12

Values from the calculation:
Space-group type ... Fmmm (69)
Volume ... 26.84 Å³ per atom
Density of states at the Fermi level ... 8.04 states/eV/cell
Polymorph energy (0 for the lowest one) ... 0 meV/atom
E_form ... -0.284 eV/atom

# 11
DFT (PBE-GGA) results for an optimized crystal structure of Sm4Cd5Ru2.

Lattice parameters (Å, degrees): 3.7418 7.7336 9.6731 95.06 90.00 90.00
Last column: nearest neighbours and their distance in Å.
Atoms (fractional coordinates):
Sm 0.5000 0.7846 0.5527  4 Ru 2.95-2.99
Sm 0.5000 0.1691 0.8486  2 Ru 2.78
Sm 0.5000 0.2154 0.4473  4 Ru 2.95-2.99
Sm 0.5000 0.8309 0.1514  2 Ru 2.78
Cd 0.0000 0.5500 0.3225  1 Ru 2.90, 2 Cd 3.11
Cd 0.0000 0.1871 0.1553  1 Ru 2.92, 2 Cd 2.96-3.11
Cd 0.0000 0.5000 0.0000  4 Cd 2.96-3.11
Cd 0.0000 0.8129 0.8447  1 Ru 2.92, 2 Cd 2.96-3.11
Cd 0.0000 0.4500 0.6775  1 Ru 2.90, 2 Cd 3.11
Ru 0.0000 0.0732 0.6441  6 Sm 2.78-2.99, 2 Cd 2.90-2.92, 1 Ru 2.91
Ru 0.0000 0.9268 0.3559  6 Sm 2.78-2.99, 2 Cd 2.90-2.92, 1 Ru 2.91

Values from the calculation:
Space-group type ... P2/m (10)
Volume ... 25.35 Å³ per atom
Density of states at the Fermi level ... 7.84 states/eV/cell
E_form ... -0.277 eV/atom

# 12
DFT (PBE-GGA) results for an optimized crystal structure of Sm3CdRu.

Lattice parameters (Å, degrees): 4.7493 7.1165 8.0593 79.13 90.01 90.00
Last column: nearest neighbours and their distance in Å.
Atoms (fractional coordinates):
Sm 0.2500 0.8562 0.0904  2 Ru 2.84
Sm 0.7500 0.6296 0.8249  3 Ru 2.94-3.09
Sm 0.2500 0.0652 0.6252  1 Ru 2.78
Sm 0.7500 0.9348 0.3748  1 Ru 2.78
Sm 0.7500 0.1438 0.9096  2 Ru 2.84
Sm 0.2500 0.3704 0.1751  3 Ru 2.94-3.09
Cd 0.7500 0.3722 0.4976  1 Ru 2.87, 2 Cd 3.00
Cd 0.2500 0.6278 0.5024  1 Ru 2.87, 2 Cd 3.00
Ru 0.7500 0.6457 0.1866  6 Sm 2.78-3.09, 1 Cd 2.87
Ru 0.2500 0.3543 0.8134  6 Sm 2.78-3.09, 1 Cd 2.87

Values from the calculation:
Space-group type ... P2_1/m (11)
Volume ... 26.75 Å³ per atom
Density of states at the Fermi level ... 7.67 states/eV/cell
Polymorph energy (0 for the lowest one) ... 111 meV/atom
E_form ... -0.173 eV/atom